Ta2AlH after structural relaxation, computed with GGA-PBE.

Lattice parameters (Å, degrees): 5.895 5.895 5.895 125.45 125.45 80.80
Sites, in units of the cell vectors:
Ta 0.000 0.000 0.000
Ta 0.000 0.000 0.500
Ta 0.000 0.500 0.000
Ta 0.500 0.000 0.500
Al 0.375 0.625 0.750
Al 0.625 0.375 0.250
H 0.125 0.875 0.250
H 0.875 0.125 0.750

## Properties
E_tot ... -7.215 eV per atom
Magnetization ... 0.000 μB/atom
Offset from the most stable computed form ... 633.2 meV per atom
Volume ... 16.4 Å³ per atom
D(E_F) ... 1.50 states/eV/f.u.